# Ba3YCr

An optimized crystal structure of Ba3YCr (PBE, the Alexandria database).

The structure in POSCAR format:
```
Ba3YCr
1.0
-1.067 -5.725 2.373
3.734 1.328 4.882
-4.946 2.237 3.175
Y Cr Ba
1 1 3
direct
0.500 0.500 0.500
0.000 0.000 0.000
0.000 0.500 0.000
0.000 0.000 0.500
0.500 0.000 0.000
```

Summary:
formation energy = 0.715 eV per atom
E = -3.66 eV per atom
D(E_F) = 8.9 states/eV/f.u.